Entry from the Alexandria database: a relaxed MnVBi2O6 crystal (PBE+U).

Summary:
Total energy (eV for the cell shown): -136.01
M_tot (μB per formula unit): 6.0
Calculated volume (Å³/cell): 259.2
Crystal system: monoclinic

a = 5.473 Å, b = 5.909 Å, c = 9.692 Å
α = 90.00°, β = 124.22°, γ = 90.00°
Fractional positions:
Mn 0.000 0.000 0.000
Mn 0.000 0.500 0.500
V 0.500 0.000 0.500
V 0.500 0.500 0.000
Bi 0.226 0.059 0.729
Bi 0.226 0.441 0.229
Bi 0.774 0.559 0.771
Bi 0.774 0.941 0.271
O 0.153 0.174 0.471
O 0.153 0.326 0.971
O 0.266 0.732 0.440
O 0.266 0.768 0.940
O 0.363 0.048 0.259
O 0.363 0.452 0.759
O 0.637 0.548 0.241
O 0.637 0.952 0.741
O 0.734 0.232 0.060
O 0.734 0.268 0.560
O 0.847 0.674 0.029
O 0.847 0.826 0.529